Model one:
AcZn9Ag2: optimized geometry, PBE-GGA.

As for the space group: R-3m.

Cell lengths 5.385, 5.385, 8.956 Å; angles 72.50, 72.50, 60.00 degrees
Sites, in units of the cell vectors:
Ac1 0.000 0.000 0.000
Zn1 0.666 0.666 0.002
Zn2 0.334 0.334 0.998
Zn3 0.500 0.500 0.500
Zn4 0.407 0.407 0.266
Zn5 0.919 0.407 0.266
Zn6 0.407 0.919 0.266
Zn7 0.593 0.593 0.734
Zn8 0.593 0.081 0.734
Zn9 0.081 0.593 0.734
Ag1 0.862 0.862 0.414
Ag2 0.138 0.138 0.586

---

Model two:
AcZn9Ag2: optimized geometry, PBE-GGA.

As for the space group: P6/mmm.

Cell lengths 3.268, 8.863, 8.863 Å; angles 120.00, 90.00, 90.00 degrees
Sites, in units of the cell vectors:
Ac1 0.000 0.000 0.000
Zn1 0.500 0.812 0.188
Zn2 0.000 0.000 0.500
Zn3 0.000 0.500 0.500
Zn4 0.500 0.812 0.624
Zn5 0.500 0.188 0.812
Zn6 0.500 0.624 0.812
Zn7 0.500 0.188 0.376
Zn8 0.000 0.500 0.000
Zn9 0.500 0.376 0.188
Ag1 0.000 0.667 0.333
Ag2 0.000 0.333 0.667

---

Top of the stability list: model one, leading by 88 meV/atom.

---

Model one:
Ac2Zn3Ag2: optimized geometry, PBE-GGA.

As for the space group: Cmmm.

Cell lengths 4.069, 4.413, 10.657 Å; angles 101.95, 90.00, 90.00 degrees
Sites, in units of the cell vectors:
Ac1 0.000 0.847 0.695
Ac2 0.000 0.153 0.305
Zn1 0.500 0.563 0.125
Zn2 0.500 0.437 0.875
Zn3 0.000 0.000 0.000
Ag1 0.500 0.708 0.416
Ag2 0.500 0.292 0.584

---

Model two:
Ac2Zn3Ag2: optimized geometry, PBE-GGA.

As for the space group: C2/m.

Cell lengths 4.876, 5.893, 6.877 Å; angles 107.39, 90.00, 114.44 degrees
Sites, in units of the cell vectors:
Ac1 0.852 0.704 0.226
Ac2 0.148 0.296 0.774
Zn1 0.500 0.000 0.000
Zn2 0.588 0.175 0.403
Zn3 0.412 0.825 0.597
Ag1 0.839 0.678 0.724
Ag2 0.161 0.322 0.276

---

Top of the stability list: model two, leading by 213 meV/atom.

---

Model one:
Ac4Zn3Ag: optimized geometry, PBE-GGA.

As for the space group: P4/mmm.

Cell lengths 3.930, 3.930, 15.682 Å; angles 90.00, 90.00, 90.00 degrees
Sites, in units of the cell vectors:
Ac1 0.000 0.000 0.871
Ac2 0.000 0.000 0.129
Ac3 0.000 0.000 0.375
Ac4 0.000 0.000 0.625
Zn1 0.500 0.500 0.253
Zn2 0.500 0.500 0.500
Zn3 0.500 0.500 0.747
Ag1 0.500 0.500 0.000

---

Model two:
Ac4Zn3Ag: optimized geometry, PBE-GGA.

As for the space group: Pmm2.

Cell lengths 4.088, 4.772, 12.605 Å; angles 90.00, 90.00, 90.00 degrees
Sites, in units of the cell vectors:
Ac1 0.500 0.500 0.353
Ac2 0.000 0.500 0.850
Ac3 0.000 0.000 0.149
Ac4 0.500 0.000 0.649
Zn1 0.000 0.500 0.563
Zn2 0.000 0.000 0.437
Zn3 0.500 0.000 0.934
Ag1 0.500 0.500 0.064

---

Top of the stability list: model one, leading by 28 meV/atom.

---

Model one:
AcAl4: optimized geometry, PBE-GGA.

As for the space group: I4/mmm.

Cell lengths 4.463, 4.463, 6.452 Å; angles 110.24, 110.24, 90.00 degrees
Sites, in units of the cell vectors:
Ac1 0.000 0.000 0.000
Al1 0.750 0.250 0.500
Al2 0.250 0.750 0.500
Al3 0.617 0.617 0.234
Al4 0.383 0.383 0.766

---

Model two:
AcAl4: optimized geometry, PBE-GGA.

As for the space group: Pm-3m.

Cell lengths 6.015, 6.015, 6.015 Å; angles 90.00, 90.00, 90.00 degrees
Sites, in units of the cell vectors:
Ac1 0.500 0.500 0.500
Al1 0.000 0.000 0.000
Al2 0.500 0.000 0.500
Al3 0.000 0.500 0.500
Al4 0.500 0.500 0.000

---

Top of the stability list: model one, leading by 1781 meV/atom.